K2NaGe: relaxed, PBE.

Cell and atoms, written as CIF:
```
data_K2NaGe
_cell_length_a 5.0026
_cell_length_b 5.0026
_cell_length_c 24.2916
_cell_angle_alpha 90.00
_cell_angle_beta 90.00
_cell_angle_gamma 90.00
_space_group_name_H-M_alt 'I -4 2 d'
_space_group_IT_number 122
_space_group_name_Hall 'I -4 2bw'
loop_
_atom_site_label
_atom_site_type_symbol
_atom_site_fract_x
_atom_site_fract_y
_atom_site_fract_z
K1 K 0.2366 0.2500 0.1250
Na1 Na 0.0000 0.0000 0.5000
Ge1 Ge 0.0000 0.0000 0.0000
```

# PBE KNaGe, relaxed
# - energy above the lowest structure with this stoichiometry (meV per atom) = 0
data_KNaGe
_cell_length_a 6.7718
_cell_length_b 14.7009
_cell_length_c 8.5906
_cell_angle_alpha 90.00
_cell_angle_beta 90.00
_cell_angle_gamma 90.00
_space_group_name_H-M_alt 'C m c e'
_space_group_IT_number 64
_space_group_name_Hall '-C 2ac 2'
loop_
_atom_site_label
_atom_site_type_symbol
_atom_site_fract_x
_atom_site_fract_y
_atom_site_fract_z
K1 K 0.0000 0.1926 0.1023
Na1 Na 0.2500 0.0389 0.7500
Ge1 Ge 0.0000 0.0828 0.4733

K2NaGe: relaxed, PBE.

Cell and atoms, written as CIF:
```
data_K2NaGe
_cell_length_a 11.1396
_cell_length_b 7.3281
_cell_length_c 9.3641
_cell_angle_alpha 90.00
_cell_angle_beta 114.68
_cell_angle_gamma 90.00
_space_group_name_H-M_alt 'P 1 21/c 1'
_space_group_IT_number 14
_space_group_name_Hall '-P 2ybc'
loop_
_atom_site_label
_atom_site_type_symbol
_atom_site_fract_x
_atom_site_fract_y
_atom_site_fract_z
K1 K 0.1758 0.2499 0.0886
K2 K 0.2149 0.7222 0.3571
Na1 Na 0.5002 0.0003 0.3091
Ge1 Ge 0.4400 0.1478 0.9696
```

Energy of formation, respectively: 105; -22; -7 kJ/mol of formula units.